Record 1
YMgTe: optimized geometry, GGA-PBE.

The space group is P-6m2 (No. 187) and the conventional cell measures 4.9292, 4.9292 and 3.8282 Å, with angles of 90.00, 90.00 and 120.00 degrees. The distinct sites, in fractional coordinates, are Y at (0.0000, 0.0000, 0.0000), Mg at (0.6667, 0.3333, 0.5000) and Te at (0.3333, 0.6667, 0.5000).

Its calculated density is 4.964 g/cm³. Its raw formation energy is -1.4 eV per formula unit. The value obtained for the density of states at the Fermi level is 2.70 states/eV per cell. As for the distance to the lowest polymorph of the same formula: 238 meV/atom. For the size of the total moment, the calculation gives 0.00 μB per formula unit. For the uncorrected energy, the calculation gives -12.61 eV for the cell shown.

***

Record 2
PmPb6: optimized geometry, GGA-PBE.

The space group is Im-3m (No. 229) and the conventional cell measures 8.507, 8.507 and 8.507 Å, with angles of 90.00, 90.00 and 90.00 degrees. The distinct sites, in fractional coordinates, are Pm at (0.000, 0.000, 0.000) and Pb at (0.000, 0.250, 0.500).

Its calculated density is 7.490 g/cm³. The value obtained for the density of states at the Fermi level is 15.26 states/eV per cell. As for the formation energy: 603 meV/atom. For the size of the total moment, the calculation gives 0.77 μB per formula unit. For the uncorrected energy, the calculation gives -45.56 eV for the cell shown.

***

Among the records above, which one has the lowest size of the total moment?
YMgTe